No. 1
# PmGdSbCl, relaxed, DFT GGA-PBE
# **Volume**: 419.8 Å³/cell
# **SG**: F-43m (216)
# **E_form (uncorrected)**: -114 kJ/mol of atoms
# **Total DFT energy (no corrections)**: -29.512 eV per formula unit
data_PmGdSbCl
_chemical_formula_sum 'Pm4 Gd4 Sb4 Cl4'
_symmetry_space_group_name_H-M 'P 1'
_symmetry_Int_Tables_number 1
_symmetry_space_group_name_Hall 'P 1'
_cell_length_a 7.488
_cell_length_b 7.488
_cell_length_c 7.488
_cell_angle_alpha 90.00
_cell_angle_beta 90.00
_cell_angle_gamma 90.00
loop_
_atom_site_label
_atom_site_fract_x
_atom_site_fract_y
_atom_site_fract_z
Pm1 0.000 0.000 0.000
Pm2 0.000 0.500 0.500
Pm3 0.500 0.000 0.500
Pm4 0.500 0.500 0.000
Gd1 0.000 0.000 0.500
Gd2 0.000 0.500 0.000
Gd3 0.500 0.000 0.000
Gd4 0.500 0.500 0.500
Sb1 0.250 0.250 0.250
Sb2 0.250 0.750 0.750
Sb3 0.750 0.250 0.750
Sb4 0.750 0.750 0.250
Cl1 0.250 0.250 0.750
Cl2 0.250 0.750 0.250
Cl3 0.750 0.250 0.250
Cl4 0.750 0.750 0.750



No. 2
# PmGdSnCl, relaxed, DFT GGA-PBE
# **Volume**: 428.1 Å³/cell
# **SG**: F-43m (216)
# **E_form (uncorrected)**: -93 kJ/mol of atoms
# **Total DFT energy (no corrections)**: -28.550 eV per formula unit
data_PmGdSnCl
_chemical_formula_sum 'Pm4 Gd4 Sn4 Cl4'
_symmetry_space_group_name_H-M 'P 1'
_symmetry_Int_Tables_number 1
_symmetry_space_group_name_Hall 'P 1'
_cell_length_a 7.537
_cell_length_b 7.537
_cell_length_c 7.537
_cell_angle_alpha 90.00
_cell_angle_beta 90.00
_cell_angle_gamma 90.00
loop_
_atom_site_label
_atom_site_fract_x
_atom_site_fract_y
_atom_site_fract_z
Pm1 0.000 0.000 0.000
Pm2 0.000 0.500 0.500
Pm3 0.500 0.000 0.500
Pm4 0.500 0.500 0.000
Gd1 0.000 0.000 0.500
Gd2 0.000 0.500 0.000
Gd3 0.500 0.000 0.000
Gd4 0.500 0.500 0.500
Sn1 0.250 0.250 0.750
Sn2 0.250 0.750 0.250
Sn3 0.750 0.250 0.250
Sn4 0.750 0.750 0.750
Cl1 0.250 0.250 0.250
Cl2 0.250 0.750 0.750
Cl3 0.750 0.250 0.750
Cl4 0.750 0.750 0.250



No. 3
# Pr3GdCl, relaxed, DFT GGA-PBE
# **Volume**: 168.5 Å³/cell
# **SG**: Pm-3m (221)
# **E_form (uncorrected)**: -48 kJ/mol of atoms
# **Total DFT energy (no corrections)**: -32.758 eV per formula unit
data_Pr3GdCl
_chemical_formula_sum 'Pr3 Gd1 Cl1'
_symmetry_space_group_name_H-M 'P 1'
_symmetry_Int_Tables_number 1
_symmetry_space_group_name_Hall 'P 1'
_cell_length_a 5.524
_cell_length_b 5.524
_cell_length_c 5.524
_cell_angle_alpha 90.00
_cell_angle_beta 90.00
_cell_angle_gamma 90.00
loop_
_atom_site_label
_atom_site_fract_x
_atom_site_fract_y
_atom_site_fract_z
Pr1 0.000 0.000 0.500
Pr2 0.000 0.500 0.000
Pr3 0.500 0.000 0.000
Gd1 0.500 0.500 0.500
Cl1 0.000 0.000 0.000



No. 4
# PrGdCl, relaxed, DFT GGA-PBE
# **Volume**: 89.3 Å³/cell
# **SG**: P3m1 (156)
# **E_form (uncorrected)**: -89 kJ/mol of atoms
# **Total DFT energy (no corrections)**: -23.475 eV per formula unit
data_PrGdCl
_chemical_formula_sum 'Pr1 Gd1 Cl1'
_symmetry_space_group_name_H-M 'P 1'
_symmetry_Int_Tables_number 1
_symmetry_space_group_name_Hall 'P 1'
_cell_length_a 3.779
_cell_length_b 3.779
_cell_length_c 7.216
_cell_angle_alpha 90.00
_cell_angle_beta 90.00
_cell_angle_gamma 120.00
loop_
_atom_site_label
_atom_site_fract_x
_atom_site_fract_y
_atom_site_fract_z
Pr1 0.000 0.000 0.000
Gd1 0.333 0.667 0.613
Cl1 0.667 0.333 0.321



No. 5
# Gd2PtCl, relaxed, DFT GGA-PBE
# **Volume**: 318.6 Å³/cell
# **SG**: R-3m (166)
# **E_form (uncorrected)**: -133 kJ/mol of atoms
# **Total DFT energy (no corrections)**: -41.558 eV per formula unit
data_Gd2PtCl
_chemical_formula_sum 'Gd6 Pt3 Cl3'
_symmetry_space_group_name_H-M 'P 1'
_symmetry_Int_Tables_number 1
_symmetry_space_group_name_Hall 'P 1'
_cell_length_a 4.082
_cell_length_b 4.082
_cell_length_c 22.081
_cell_angle_alpha 90.00
_cell_angle_beta 90.00
_cell_angle_gamma 120.00
loop_
_atom_site_label
_atom_site_fract_x
_atom_site_fract_y
_atom_site_fract_z
Gd1 0.000 0.000 0.237
Gd2 0.000 0.000 0.763
Gd3 0.333 0.667 0.430
Gd4 0.333 0.667 0.903
Gd5 0.667 0.333 0.097
Gd6 0.667 0.333 0.570
Pt1 0.000 0.000 0.500
Pt2 0.333 0.667 0.167
Pt3 0.667 0.333 0.833
Cl1 0.000 0.000 0.000
Cl2 0.333 0.667 0.667
Cl3 0.667 0.333 0.333



No. 6
# RbGdCl3, relaxed, DFT GGA-PBE
# **Volume**: 165.0 Å³/cell
# **SG**: Pm-3m (221)
# **E_form (uncorrected)**: -186 kJ/mol of atoms
# **Total DFT energy (no corrections)**: -30.212 eV per formula unit
data_RbGdCl3
_chemical_formula_sum 'Rb1 Gd1 Cl3'
_symmetry_space_group_name_H-M 'P 1'
_symmetry_Int_Tables_number 1
_symmetry_space_group_name_Hall 'P 1'
_cell_length_a 5.485
_cell_length_b 5.485
_cell_length_c 5.485
_cell_angle_alpha 90.00
_cell_angle_beta 90.00
_cell_angle_gamma 90.00
loop_
_atom_site_label
_atom_site_fract_x
_atom_site_fract_y
_atom_site_fract_z
Rb1 0.000 0.000 0.000
Gd1 0.500 0.500 0.500
Cl1 0.000 0.500 0.500
Cl2 0.500 0.000 0.500
Cl3 0.500 0.500 0.000



No. 7
# Rb3GdCl6, relaxed, DFT GGA-PBE
# **Volume**: 387.3 Å³/cell
# **SG**: Fm-3m (225)
# **E_form (uncorrected)**: -200 kJ/mol of atoms
# **Total DFT energy (no corrections)**: -48.819 eV per formula unit
data_Rb3GdCl6
_chemical_formula_sum 'Rb3 Gd1 Cl6'
_symmetry_space_group_name_H-M 'P 1'
_symmetry_Int_Tables_number 1
_symmetry_space_group_name_Hall 'P 1'
_cell_length_a 8.182
_cell_length_b 8.182
_cell_length_c 8.182
_cell_angle_alpha 60.00
_cell_angle_beta 60.00
_cell_angle_gamma 60.00
loop_
_atom_site_label
_atom_site_fract_x
_atom_site_fract_y
_atom_site_fract_z
Rb1 0.000 0.000 0.000
Rb2 0.250 0.250 0.250
Rb3 0.750 0.750 0.750
Gd1 0.500 0.500 0.500
Cl1 0.269 0.269 0.731
Cl2 0.269 0.731 0.269
Cl3 0.269 0.731 0.731
Cl4 0.731 0.269 0.269
Cl5 0.731 0.269 0.731
Cl6 0.731 0.731 0.269



No. 8
# Rb2GdCl4, relaxed, DFT GGA-PBE
# **Volume**: 506.5 Å³/cell
# **SG**: I4/mmm (139)
# **E_form (uncorrected)**: -185 kJ/mol of atoms
# **Total DFT energy (no corrections)**: -36.859 eV per formula unit
data_Rb2GdCl4
_chemical_formula_sum 'Rb4 Gd2 Cl8'
_symmetry_space_group_name_H-M 'P 1'
_symmetry_Int_Tables_number 1
_symmetry_space_group_name_Hall 'P 1'
_cell_length_a 5.467
_cell_length_b 5.467
_cell_length_c 16.943
_cell_angle_alpha 90.00
_cell_angle_beta 90.00
_cell_angle_gamma 90.00
loop_
_atom_site_label
_atom_site_fract_x
_atom_site_fract_y
_atom_site_fract_z
Rb1 0.000 0.000 0.144
Rb2 0.000 0.000 0.856
Rb3 0.500 0.500 0.356
Rb4 0.500 0.500 0.644
Gd1 0.000 0.000 0.500
Gd2 0.500 0.500 0.000
Cl1 0.000 0.000 0.337
Cl2 0.000 0.000 0.663
Cl3 0.000 0.500 0.000
Cl4 0.000 0.500 0.500
Cl5 0.500 0.000 0.000
Cl6 0.500 0.000 0.500
Cl7 0.500 0.500 0.163
Cl8 0.500 0.500 0.837



No. 9
# GdSCl, relaxed, DFT GGA-PBE
# **Volume**: 93.8 Å³/cell
# **SG**: P3m1 (156)
# **E_form (uncorrected)**: -202 kJ/mol of atoms
# **Total DFT energy (no corrections)**: -26.333 eV per formula unit
data_GdSCl
_chemical_formula_sum 'Gd1 S1 Cl1'
_symmetry_space_group_name_H-M 'P 1'
_symmetry_Int_Tables_number 1
_symmetry_space_group_name_Hall 'P 1'
_cell_length_a 4.095
_cell_length_b 4.095
_cell_length_c 6.457
_cell_angle_alpha 90.00
_cell_angle_beta 90.00
_cell_angle_gamma 120.00
loop_
_atom_site_label
_atom_site_fract_x
_atom_site_fract_y
_atom_site_fract_z
Gd1 0.000 0.000 0.000
S1 0.333 0.667 0.808
Cl1 0.667 0.333 0.250



No. 10
# GdSCl, relaxed, DFT GGA-PBE
# **Volume**: 293.0 Å³/cell
# **SG**: F-43m (216)
# **E_form (uncorrected)**: -198 kJ/mol of atoms
# **Total DFT energy (no corrections)**: -26.217 eV per formula unit
data_GdSCl
_chemical_formula_sum 'Gd4 S4 Cl4'
_symmetry_space_group_name_H-M 'P 1'
_symmetry_Int_Tables_number 1
_symmetry_space_group_name_Hall 'P 1'
_cell_length_a 6.642
_cell_length_b 6.642
_cell_length_c 6.642
_cell_angle_alpha 90.00
_cell_angle_beta 90.00
_cell_angle_gamma 90.00
loop_
_atom_site_label
_atom_site_fract_x
_atom_site_fract_y
_atom_site_fract_z
Gd1 0.000 0.000 0.000
Gd2 0.000 0.500 0.500
Gd3 0.500 0.000 0.500
Gd4 0.500 0.500 0.000
S1 0.250 0.250 0.250
S2 0.250 0.750 0.750
S3 0.750 0.250 0.750
S4 0.750 0.750 0.250
Cl1 0.250 0.250 0.750
Cl2 0.250 0.750 0.250
Cl3 0.750 0.250 0.250
Cl4 0.750 0.750 0.750



No. 11
# Gd2SCl, relaxed, DFT GGA-PBE
# **Volume**: 272.2 Å³/cell
# **SG**: R-3m (166)
# **E_form (uncorrected)**: -162 kJ/mol of atoms
# **Total DFT energy (no corrections)**: -40.856 eV per formula unit
data_Gd2SCl
_chemical_formula_sum 'Gd6 S3 Cl3'
_symmetry_space_group_name_H-M 'P 1'
_symmetry_Int_Tables_number 1
_symmetry_space_group_name_Hall 'P 1'
_cell_length_a 3.914
_cell_length_b 3.914
_cell_length_c 20.519
_cell_angle_alpha 90.00
_cell_angle_beta 90.00
_cell_angle_gamma 120.00
loop_
_atom_site_label
_atom_site_fract_x
_atom_site_fract_y
_atom_site_fract_z
Gd1 0.000 0.000 0.239
Gd2 0.000 0.000 0.761
Gd3 0.333 0.667 0.427
Gd4 0.333 0.667 0.906
Gd5 0.667 0.333 0.094
Gd6 0.667 0.333 0.573
S1 0.000 0.000 0.500
S2 0.333 0.667 0.167
S3 0.667 0.333 0.833
Cl1 0.000 0.000 0.000
Cl2 0.333 0.667 0.667
Cl3 0.667 0.333 0.333



No. 12
# GdSCl, relaxed, DFT GGA-PBE
# **Volume**: 160.5 Å³/cell
# **SG**: I4mm (107)
# **E_form (uncorrected)**: -176 kJ/mol of atoms
# **Total DFT energy (no corrections)**: -25.512 eV per formula unit
data_GdSCl
_chemical_formula_sum 'Gd2 S2 Cl2'
_symmetry_space_group_name_H-M 'P 1'
_symmetry_Int_Tables_number 1
_symmetry_space_group_name_Hall 'P 1'
_cell_length_a 3.501
_cell_length_b 3.501
_cell_length_c 13.098
_cell_angle_alpha 90.00
_cell_angle_beta 90.00
_cell_angle_gamma 90.00
loop_
_atom_site_label
_atom_site_fract_x
_atom_site_fract_y
_atom_site_fract_z
Gd1 0.000 0.000 0.000
Gd2 0.500 0.500 0.500
S1 0.000 0.000 0.402
S2 0.500 0.500 0.902
Cl1 0.000 0.000 0.639
Cl2 0.500 0.500 0.139